A relaxed Tb2Fe3Ge5 crystal, computed with PBE-GGA.

The calculation puts the formation energy at -4.806 eV/f.u. For the total energy, the calculation gives -6.254 eV/atom. For the density of states at the Fermi level, the calculation gives 19.138 states/eV per cell.

The structure belongs to space group Ibam (No. 72); the cell edges are 9.670, 12.213 and 5.586 Å and the angles 90.00°, 90.00° and 90.00°. The inequivalent atoms are Tb at (0.230, 0.141, 0.000), Fe at (0.000, 0.500, 0.250), Fe at (0.089, 0.144, 0.500), Ge at (0.000, 0.000, 0.250), Ge at (0.000, 0.287, 0.250) and Ge at (0.180, 0.409, 0.000).